Record 1
A plane-wave DFT calculation with PBE was carried out for Dy3TmPu2S6 after structural relaxation.

Results
Fermi-level density of states: 15.27 states/eV/f.u.
magnetic moment: 11.47 μB/f.u.
energy relative to the elements, uncorrected: -1.936 eV/atom
E: -7.9111 eV per atom

Geometry as POSCAR:
```
Dy3TmPu2S6
1.0
-3.250 0.775 2.007
3.958 -0.819 6.724
2.490 7.898 -2.800
S Tm Pu Dy
6 1 2 3
Direct
0.666 0.585 0.332
0.334 0.415 0.668
0.002 0.755 0.004
0.335 0.921 0.671
0.665 0.079 0.329
0.998 0.245 0.996
0.500 0.000 0.000
0.834 0.666 0.668
0.166 0.334 0.332
0.500 0.500 0.000
0.832 0.167 0.664
0.168 0.833 0.336
```

Record 2
A plane-wave DFT calculation with PBE was carried out for Sr4Te3As after structural relaxation.

Results
Fermi-level density of states: 5.36 states/eV/f.u.
magnetic moment: 0.54 μB/f.u.
energy relative to the elements, uncorrected: -1.468 eV/atom
E: -4.0686 eV per atom

Geometry as POSCAR:
```
Sr4Te3As
1.0
-2.127 -3.923 -4.914
-3.492 -3.577 4.368
-5.229 3.985 -0.918
Sr Te As
4 3 1
Direct
0.000 0.000 0.500
0.000 0.500 0.000
0.500 0.000 0.000
0.500 0.500 0.500
0.500 0.500 0.000
0.500 0.000 0.500
0.000 0.500 0.500
0.000 0.000 0.000
```